The following is a GGA-PBE calculation of a relaxed structure of TmAlInTe3, from OQMD.

a = 11.851 Å, b = 4.985 Å, c = 12.550 Å
α = 90.00°, β = 90.00°, γ = 90.00°
Fractional coordinates of all 24 atoms:
Al 0.261 0.250 0.226
Al 0.761 0.250 0.274
Al 0.239 0.750 0.726
Al 0.739 0.750 0.774
In 0.188 0.750 0.004
In 0.688 0.750 0.496
In 0.312 0.250 0.504
In 0.812 0.250 0.996
Te 0.416 0.250 0.068
Te 0.049 0.250 0.151
Te 0.786 0.750 0.188
Te 0.286 0.750 0.312
Te 0.549 0.250 0.349
Te 0.916 0.250 0.432
Te 0.084 0.750 0.568
Te 0.451 0.750 0.651
Te 0.714 0.250 0.688
Te 0.214 0.250 0.812
Te 0.951 0.750 0.849
Te 0.584 0.750 0.932
Tm 0.522 0.750 0.185
Tm 0.022 0.750 0.315
Tm 0.978 0.250 0.685
Tm 0.478 0.250 0.815

Computed properties:
ρ, kg/m³: 6213
Total energy, eV per atom: -3.991
M_tot, Bohr magnetons per cell: 0.0
Offset from the most stable computed form, meV/atom: 25